#one
A plane-wave DFT calculation with PBE was carried out for a relaxed structure of TiRhOF2.

Calculated values
Crystal system ... tetragonal

Cell lengths 4.034, 4.034, 3.872 Å; angles 90.00, 90.00, 90.00 degrees
Last column: magnetic moment on the atom in μB.
Fractional positions:
1 F 0.500 0.000 0.000  0.00
2 F 0.000 0.500 0.000  0.00
3 Rh 0.500 0.500 0.500  1.44
4 O 0.000 0.000 0.500  0.09
5 Ti 0.000 0.000 0.000  -0.56

***

#two
A plane-wave DFT calculation with PBE was carried out for a relaxed structure of TiRhOF2.

Calculated values
Crystal system ... tetragonal

Cell lengths 4.245, 4.245, 3.853 Å; angles 90.00, 90.00, 90.00 degrees
Fractional positions:
1 F 0.000 0.500 0.000
2 Ti 0.500 0.500 0.500
3 O 0.000 0.000 0.500
4 F 0.500 0.000 0.000
5 Rh 0.000 0.000 0.000

***

Most stable: #one (next structure +1.042 eV/atom)

***

#one
A plane-wave DFT calculation with PBE was carried out for a relaxed structure of ZrRhOF2.

Calculated values
Crystal system ... tetragonal

Cell lengths 4.200, 4.200, 3.970 Å; angles 90.00, 90.00, 90.00 degrees
Fractional positions:
1 Rh 0.000 0.000 0.000
2 O 0.000 0.000 0.500
3 F 0.500 0.000 0.000
4 Zr 0.500 0.500 0.500
5 F 0.000 0.500 0.000

***

#two
A plane-wave DFT calculation with PBE was carried out for a relaxed structure of ZrRhOF2.

Calculated values
Crystal system ... tetragonal

Cell lengths 4.256, 4.256, 4.108 Å; angles 90.00, 90.00, 90.00 degrees
Last column: magnetic moment on the atom in μB.
Fractional positions:
1 O 0.000 0.000 0.500  0.04
2 Zr 0.000 0.000 0.000  -0.10
3 Rh 0.500 0.500 0.500  1.13
4 F 0.500 0.000 0.000  0.00
5 F 0.000 0.500 0.000  0.00

***

Most stable: #two (next structure +1.045 eV/atom)

***

#one
A plane-wave DFT calculation with PBE was carried out for a relaxed structure of RuOF2.

Calculated values
Crystal system ... trigonal

Cell lengths 8.014, 8.014, 8.014 Å; angles 19.71, 19.71, 19.71 degrees
Last column: magnetic moment on the atom in μB.
Fractional positions:
1 Ru 0.500 0.500 0.500  -1.69
2 F 0.900 0.900 0.900  -0.13
3 F 0.100 0.100 0.100  -0.13
4 O 0.000 0.000 0.000  0.21

***

#two
A plane-wave DFT calculation with PBE was carried out for a relaxed structure of RuOF2.

Calculated values
Crystal system ... tetragonal

Cell lengths 3.245, 3.245, 8.022 Å; angles 78.33, 78.33, 90.00 degrees
Last column: magnetic moment on the atom in μB.
Fractional positions:
1 O 0.250 0.750 0.500  0.23
2 F 0.375 0.348 0.750  0.15
3 Ru 0.000 0.000 0.000  2.27
4 F 0.652 0.125 0.250  0.18
5 O 0.500 0.500 0.000  0.23
6 Ru 0.750 0.250 0.500  2.27
7 F 0.875 0.902 0.750  0.14
8 F 0.098 0.625 0.250  0.17

***

#three
A plane-wave DFT calculation with PBE was carried out for a relaxed structure of RuOF2.

Calculated values
Crystal system ... cubic

Cell lengths 3.875, 3.875, 3.875 Å; angles 60.00, 60.00, 60.00 degrees
Last column: magnetic moment on the atom in μB.
Fractional positions:
1 O 0.000 0.000 0.000  -0.05
2 Ru 0.500 0.500 0.500  3.50
3 F 0.250 0.250 0.250  0.18
4 F 0.750 0.750 0.750  0.18

***

Most stable: #two (next structure +0.224 eV/atom)

***

#one
A plane-wave DFT calculation with PBE was carried out for a relaxed structure of SbRuOF2.

Calculated values
Crystal system ... tetragonal

Cell lengths 4.508, 3.694, 4.508 Å; angles 90.00, 90.00, 90.00 degrees
Fractional positions:
1 Sb 0.500 0.500 0.500
2 Ru 0.000 0.000 0.000
3 F 0.000 0.000 0.500
4 O 0.000 0.500 0.000
5 F 0.500 0.000 0.000

***

#two
A plane-wave DFT calculation with PBE was carried out for a relaxed structure of SbRuOF2.

Calculated values
Crystal system ... tetragonal

Cell lengths 4.485, 4.485, 4.258 Å; angles 90.00, 90.00, 90.00 degrees
Last column: magnetic moment on the atom in μB.
Fractional positions:
1 Sb 0.000 0.000 0.000  0.00
2 F 0.500 0.000 0.000  0.02
3 O 0.000 0.000 0.500  0.04
4 Ru 0.500 0.500 0.500  2.60
5 F 0.000 0.500 0.000  0.02

***

Most stable: #one (next structure +0.230 eV/atom)